LiCoMoAs after structural relaxation. Source: OQMD via LeMat-Bulk, functional GGA-PBE.

```
data_LiCoMoAs
_chemical_formula_sum 'Li4 Co4 Mo4 As4'
_cell_length_a 5.9230
_cell_length_b 5.9230
_cell_length_c 5.9230
_cell_angle_alpha 90.00
_cell_angle_beta 90.00
_cell_angle_gamma 90.00
_symmetry_space_group_name_H-M 'P 1'
_symmetry_Int_Tables_number 1
_symmetry_space_group_name_Hall 'P 1'
loop_
_atom_site_label
_atom_site_type_symbol
_atom_site_fract_x
_atom_site_fract_y
_atom_site_fract_z
Li1 Li 0.0000 0.0000 0.0000
Li2 Li 0.0000 0.5000 0.5000
Li3 Li 0.5000 0.0000 0.5000
Li4 Li 0.5000 0.5000 0.0000
Co1 Co 0.0000 0.0000 0.5000
Co2 Co 0.0000 0.5000 0.0000
Co3 Co 0.5000 0.0000 0.0000
Co4 Co 0.5000 0.5000 0.5000
Mo1 Mo 0.2500 0.2500 0.7500
Mo2 Mo 0.2500 0.7500 0.2500
Mo3 Mo 0.7500 0.2500 0.2500
Mo4 Mo 0.7500 0.7500 0.7500
As1 As 0.2500 0.2500 0.2500
As2 As 0.2500 0.7500 0.7500
As3 As 0.7500 0.2500 0.7500
As4 As 0.7500 0.7500 0.2500
```

Values from the calculation:
- Calculated total energy: -94.8 eV/cell
- Polymorph energy (0 for the lowest one): 0.098 eV per atom

---

LiCoMoAs after structural relaxation. Source: OQMD via LeMat-Bulk, functional GGA-PBE.

```
data_LiCoMoAs
_chemical_formula_sum 'Li4 Co4 Mo4 As4'
_cell_length_a 5.8726
_cell_length_b 5.8726
_cell_length_c 5.8726
_cell_angle_alpha 90.00
_cell_angle_beta 90.00
_cell_angle_gamma 90.00
_symmetry_space_group_name_H-M 'P 1'
_symmetry_Int_Tables_number 1
_symmetry_space_group_name_Hall 'P 1'
loop_
_atom_site_label
_atom_site_type_symbol
_atom_site_fract_x
_atom_site_fract_y
_atom_site_fract_z
Li1 Li 0.0000 0.0000 0.0000
Li2 Li 0.0000 0.5000 0.5000
Li3 Li 0.5000 0.0000 0.5000
Li4 Li 0.5000 0.5000 0.0000
Co1 Co 0.2500 0.2500 0.7500
Co2 Co 0.2500 0.7500 0.2500
Co3 Co 0.7500 0.2500 0.2500
Co4 Co 0.7500 0.7500 0.7500
Mo1 Mo 0.2500 0.2500 0.2500
Mo2 Mo 0.2500 0.7500 0.7500
Mo3 Mo 0.7500 0.2500 0.7500
Mo4 Mo 0.7500 0.7500 0.2500
As1 As 0.0000 0.0000 0.5000
As2 As 0.0000 0.5000 0.0000
As3 As 0.5000 0.0000 0.0000
As4 As 0.5000 0.5000 0.5000
```

Values from the calculation:
- Calculated total energy: -96.4 eV/cell
- Polymorph energy (0 for the lowest one): 0.000 eV per atom

---

NaLiCo2As2 after structural relaxation. Source: OQMD via LeMat-Bulk, functional GGA-PBE.

```
data_NaLiCo2As2
_chemical_formula_sum 'Na1 Li1 Co2 As2'
_cell_length_a 3.8183
_cell_length_b 3.8183
_cell_length_c 6.5695
_cell_angle_alpha 90.00
_cell_angle_beta 90.00
_cell_angle_gamma 90.00
_symmetry_space_group_name_H-M 'P 1'
_symmetry_Int_Tables_number 1
_symmetry_space_group_name_Hall 'P 1'
loop_
_atom_site_label
_atom_site_type_symbol
_atom_site_fract_x
_atom_site_fract_y
_atom_site_fract_z
Na1 Na 0.0000 0.0000 0.0000
Li1 Li 0.5000 0.5000 0.6690
Co1 Co 0.0000 0.5000 0.3666
Co2 Co 0.5000 0.0000 0.3666
As1 As 0.0000 0.0000 0.5720
As2 As 0.5000 0.5000 0.1627
```

Values from the calculation:
- Calculated total energy: -29.1 eV/cell

---

LiNbCoAs after structural relaxation. Source: OQMD via LeMat-Bulk, functional GGA-PBE.

```
data_LiNbCoAs
_chemical_formula_sum 'Li4 Nb4 Co4 As4'
_cell_length_a 5.9627
_cell_length_b 5.9627
_cell_length_c 5.9627
_cell_angle_alpha 90.00
_cell_angle_beta 90.00
_cell_angle_gamma 90.00
_symmetry_space_group_name_H-M 'P 1'
_symmetry_Int_Tables_number 1
_symmetry_space_group_name_Hall 'P 1'
loop_
_atom_site_label
_atom_site_type_symbol
_atom_site_fract_x
_atom_site_fract_y
_atom_site_fract_z
Li1 Li 0.0000 0.0000 0.0000
Li2 Li 0.0000 0.5000 0.5000
Li3 Li 0.5000 0.0000 0.5000
Li4 Li 0.5000 0.5000 0.0000
Nb1 Nb 0.2500 0.2500 0.7500
Nb2 Nb 0.2500 0.7500 0.2500
Nb3 Nb 0.7500 0.2500 0.2500
Nb4 Nb 0.7500 0.7500 0.7500
Co1 Co 0.0000 0.0000 0.5000
Co2 Co 0.0000 0.5000 0.0000
Co3 Co 0.5000 0.0000 0.0000
Co4 Co 0.5000 0.5000 0.5000
As1 As 0.2500 0.2500 0.2500
As2 As 0.2500 0.7500 0.7500
As3 As 0.7500 0.2500 0.7500
As4 As 0.7500 0.7500 0.2500
```

Values from the calculation:
- Calculated total energy: -95.1 eV/cell
- Polymorph energy (0 for the lowest one): 0.000 eV per atom

---

LiNbCoAs after structural relaxation. Source: OQMD via LeMat-Bulk, functional GGA-PBE.

```
data_LiNbCoAs
_chemical_formula_sum 'Li4 Nb4 Co4 As4'
_cell_length_a 5.9928
_cell_length_b 5.9928
_cell_length_c 5.9928
_cell_angle_alpha 90.00
_cell_angle_beta 90.00
_cell_angle_gamma 90.00
_symmetry_space_group_name_H-M 'P 1'
_symmetry_Int_Tables_number 1
_symmetry_space_group_name_Hall 'P 1'
loop_
_atom_site_label
_atom_site_type_symbol
_atom_site_fract_x
_atom_site_fract_y
_atom_site_fract_z
Li1 Li 0.0000 0.0000 0.0000
Li2 Li 0.0000 0.5000 0.5000
Li3 Li 0.5000 0.0000 0.5000
Li4 Li 0.5000 0.5000 0.0000
Nb1 Nb 0.2500 0.2500 0.2500
Nb2 Nb 0.2500 0.7500 0.7500
Nb3 Nb 0.7500 0.2500 0.7500
Nb4 Nb 0.7500 0.7500 0.2500
Co1 Co 0.2500 0.2500 0.7500
Co2 Co 0.2500 0.7500 0.2500
Co3 Co 0.7500 0.2500 0.2500
Co4 Co 0.7500 0.7500 0.7500
As1 As 0.0000 0.0000 0.5000
As2 As 0.0000 0.5000 0.0000
As3 As 0.5000 0.0000 0.0000
As4 As 0.5000 0.5000 0.5000
```

Values from the calculation:
- Calculated total energy: -94.5 eV/cell
- Polymorph energy (0 for the lowest one): 0.036 eV per atom

---

LiCoNiAs after structural relaxation. Source: OQMD via LeMat-Bulk, functional GGA-PBE.

```
data_LiCoNiAs
_chemical_formula_sum 'Li4 Co4 Ni4 As4'
_cell_length_a 5.6398
_cell_length_b 5.6398
_cell_length_c 5.6398
_cell_angle_alpha 90.00
_cell_angle_beta 90.00
_cell_angle_gamma 90.00
_symmetry_space_group_name_H-M 'P 1'
_symmetry_Int_Tables_number 1
_symmetry_space_group_name_Hall 'P 1'
loop_
_atom_site_label
_atom_site_type_symbol
_atom_site_fract_x
_atom_site_fract_y
_atom_site_fract_z
Li1 Li 0.0000 0.0000 0.0000
Li2 Li 0.0000 0.5000 0.5000
Li3 Li 0.5000 0.0000 0.5000
Li4 Li 0.5000 0.5000 0.0000
Co1 Co 0.2500 0.2500 0.2500
Co2 Co 0.2500 0.7500 0.7500
Co3 Co 0.7500 0.2500 0.7500
Co4 Co 0.7500 0.7500 0.2500
Ni1 Ni 0.2500 0.2500 0.7500
Ni2 Ni 0.2500 0.7500 0.2500
Ni3 Ni 0.7500 0.2500 0.2500
Ni4 Ni 0.7500 0.7500 0.7500
As1 As 0.0000 0.0000 0.5000
As2 As 0.0000 0.5000 0.0000
As3 As 0.5000 0.0000 0.0000
As4 As 0.5000 0.5000 0.5000
```

Values from the calculation:
- Calculated total energy: -81.4 eV/cell
- Polymorph energy (0 for the lowest one): 0.000 eV per atom

---

Among the records above, which one has the highest calculated total energy?
NaLiCo2As2

---

Please write out number 4 again, unchanged.
LiNbCoAs after structural relaxation. Source: OQMD via LeMat-Bulk, functional GGA-PBE.

```
data_LiNbCoAs
_chemical_formula_sum 'Li4 Nb4 Co4 As4'
_cell_length_a 5.9627
_cell_length_b 5.9627
_cell_length_c 5.9627
_cell_angle_alpha 90.00
_cell_angle_beta 90.00
_cell_angle_gamma 90.00
_symmetry_space_group_name_H-M 'P 1'
_symmetry_Int_Tables_number 1
_symmetry_space_group_name_Hall 'P 1'
loop_
_atom_site_label
_atom_site_type_symbol
_atom_site_fract_x
_atom_site_fract_y
_atom_site_fract_z
Li1 Li 0.0000 0.0000 0.0000
Li2 Li 0.0000 0.5000 0.5000
Li3 Li 0.5000 0.0000 0.5000
Li4 Li 0.5000 0.5000 0.0000
Nb1 Nb 0.2500 0.2500 0.7500
Nb2 Nb 0.2500 0.7500 0.2500
Nb3 Nb 0.7500 0.2500 0.2500
Nb4 Nb 0.7500 0.7500 0.7500
Co1 Co 0.0000 0.0000 0.5000
Co2 Co 0.0000 0.5000 0.0000
Co3 Co 0.5000 0.0000 0.0000
Co4 Co 0.5000 0.5000 0.5000
As1 As 0.2500 0.2500 0.2500
As2 As 0.2500 0.7500 0.7500
As3 As 0.7500 0.2500 0.7500
As4 As 0.7500 0.7500 0.2500
```

Values from the calculation:
- Calculated total energy: -95.1 eV/cell
- Polymorph energy (0 for the lowest one): 0.000 eV per atom